Computed, not measured: Li3AgSn4 after structural relaxation at the PBE-GGA level of DFT.

Cell lengths 11.8302, 11.8302, 3.2371 Å; angles 90.20, 90.20, 22.68 degrees
Closest atoms and distances in Å follow each position.
Positions (direct):
Li (0.0000, 0.0000, 0.0000)  4 Sn 2.78-2.80, 4 Ag 2.83
Li (0.2106, 0.2106, 0.9996)  8 Sn 2.91-3.07, 4 Li 2.96-3.24
Li (0.7894, 0.7894, 0.0004)  8 Sn 2.91-3.07, 4 Li 2.96-3.24
Ag (0.5000, 0.5000, 0.5000)  4 Li 2.83
Sn (0.0980, 0.0980, 0.4982)  4 Li 2.78-3.07, 2 Sn 3.03
Sn (0.3185, 0.3185, 0.5018)  6 Li 2.91-2.98, 4 Sn 3.03-3.24
Sn (0.6815, 0.6815, 0.4982)  6 Li 2.91-2.98, 4 Sn 3.03-3.24
Sn (0.9020, 0.9020, 0.5018)  4 Li 2.78-3.07, 2 Sn 3.03

formation energy	-170	meV/atom
crystal system	monoclinic

---

Computed, not measured: HPt2Se after structural relaxation at the PBE-GGA level of DFT.

Cell lengths 6.0918, 6.0918, 6.0918 Å; angles 132.46, 132.46, 69.51 degrees
Closest atoms and distances in Å follow each position.
Positions (direct):
H (0.0000, 0.0000, 0.0000)  4 Pt 1.90
H (0.7500, 0.2500, 0.5000)  4 Pt 1.90
Pt (0.0231, 0.6250, 0.8981)  2 H 1.90
Pt (0.3750, 0.2731, 0.3981)  2 H 1.90
Pt (0.7269, 0.1250, 0.1019)  2 H 1.90
Pt (0.8750, 0.9769, 0.6019)  2 H 1.90
Se (0.2500, 0.7500, 0.5000)  4 Pt 2.46
Se (0.5000, 0.5000, 0.0000)  4 Pt 2.46

crystal system	tetragonal
total energy	-4.69	eV/atom